Record 1
Compound: AsI3N
Source: the Alexandria database
Functional: meta-GGA SCAN
Structure: PBEsol geometry

The structure belongs to space group Pm-3m (No. 221); the cell edges are 5.613, 5.613 and 5.613 Å and the angles 90.00°, 90.00° and 90.00°. Symmetry generates all atoms from As at (0.000, 0.000, 0.000), I at (0.000, 0.000, 0.500) and N at (0.500, 0.500, 0.500).

Its density of states at the Fermi level is 0.212 states/eV/atom. Its raw formation energy is 0.933 eV per atom. For the total magnetization, the calculation gives 3.0 μB per cell. The uncorrected energy is -27.0079 eV/atom.



Record 2
Compound: NaAsIN2
Source: the Alexandria database
Functional: meta-GGA SCAN
Structure: PBEsol geometry

The structure belongs to space group P4/mmm (No. 123); the cell edges are 3.885, 3.885 and 6.478 Å and the angles 90.00°, 90.00° and 90.00°. Symmetry generates all atoms from Na at (0.000, 0.000, 0.000), As at (0.500, 0.500, 0.500), I at (0.500, 0.500, 0.000) and N at (0.000, 0.500, 0.500).

Its density of states at the Fermi level is 0.275 states/eV/atom. Its raw formation energy is 0.810 eV per atom. For the total magnetization, the calculation gives 1.4 μB per cell. The uncorrected energy is -15.1358 eV/atom.



Record 3
Compound: AsPIN2
Source: the Alexandria database
Functional: meta-GGA SCAN
Structure: PBEsol geometry

The structure belongs to space group P4/mmm (No. 123); the cell edges are 3.630, 3.630 and 6.537 Å and the angles 90.00°, 90.00° and 90.00°. Symmetry generates all atoms from As at (0.000, 0.000, 0.000), P at (0.500, 0.500, 0.500), I at (0.500, 0.500, 0.000) and N at (0.000, 0.500, 0.500).

Its density of states at the Fermi level is 0.432 states/eV/atom. Its raw formation energy is 1.383 eV per atom. For the total magnetization, the calculation gives 0.9 μB per cell. The uncorrected energy is -15.7998 eV/atom.



Record 4
Compound: AsPI2N
Source: the Alexandria database
Functional: meta-GGA SCAN
Structure: PBEsol geometry

The structure belongs to space group P4/mmm (No. 123); the cell edges are 5.686, 5.686 and 3.606 Å and the angles 90.00°, 90.00° and 90.00°. Symmetry generates all atoms from As at (0.000, 0.000, 0.000), P at (0.500, 0.500, 0.500), I at (0.000, 0.500, 0.000) and N at (0.000, 0.000, 0.500).

Its density of states at the Fermi level is 0.635 states/eV/atom. Its raw formation energy is 1.197 eV per atom. For the total magnetization, the calculation gives 0.0 μB per cell. The uncorrected energy is -21.4760 eV/atom.



Record 5
Compound: ScAsIN2
Source: the Alexandria database
Functional: meta-GGA SCAN
Structure: PBEsol geometry

The structure belongs to space group P4/mmm (No. 123); the cell edges are 3.933, 3.933 and 5.499 Å and the angles 90.00°, 90.00° and 90.00°. Symmetry generates all atoms from Sc at (0.000, 0.000, 0.000), As at (0.500, 0.500, 0.500), I at (0.500, 0.500, 0.000) and N at (0.000, 0.500, 0.500).

Its density of states at the Fermi level is 0.649 states/eV/atom. Its raw formation energy is 1.017 eV per atom. For the total magnetization, the calculation gives 0.5 μB per cell. The uncorrected energy is -16.9331 eV/atom.



Record 6
Compound: SiAsI2N
Source: the Alexandria database
Functional: meta-GGA SCAN
Structure: PBEsol geometry

The structure belongs to space group P4/mmm (No. 123); the cell edges are 5.779, 5.779 and 3.639 Å and the angles 90.00°, 90.00° and 90.00°. Symmetry generates all atoms from Si at (0.000, 0.000, 0.000), As at (0.500, 0.500, 0.500), I at (0.000, 0.500, 0.500) and N at (0.500, 0.500, 0.000).

Its density of states at the Fermi level is 0.378 states/eV/atom. Its raw formation energy is 1.025 eV per atom. For the total magnetization, the calculation gives 0.0 μB per cell. The uncorrected energy is -21.5714 eV/atom.



Q: The highest uncorrected energy belongs to which entry?
A: NaAsIN2



Q: Look up the raw formation energy of the fourth one.
A: 1.197 eV per atom



Q: Which value of total magnetization does entry 5 give?
A: 0.5 μB per cell